DFT (GGA-PBE) results for a relaxed structure of HoCd2.

- spin magnetization (μB per cell) = 0.0
- symmetry = Fd-3m (227)
- E (eV per atom) = -2.378
- DFT formation energy (eV per formula unit) = -0.77
- ρ (g/cm3) = 9.15

Unit cell a=5.848 b=5.848 c=5.848 alpha=60.00 beta=60.00 gamma=60.00
Element x y z (fractional)
Cd  0.625  0.625  0.125
Cd  0.625  0.125  0.625
Cd  0.125  0.625  0.625
Cd  0.625  0.625  0.625
Ho  0.000  0.000  0.000
Ho  0.250  0.250  0.250